First-principles (PBE) data for crystalline In2GaSe at its relaxed geometry, as listed in Alexandria via LeMat-Bulk.

a = 3.7555 Å, b = 3.7555 Å, c = 10.1079 Å
α = 79.29°, β = 79.29°, γ = 60.00°
Closest atoms and distances in Å follow each position.
Sites, in units of the cell vectors:
Ga  0.0000  0.0000  0.0000  2 In 3.01
Se  0.5000  0.5000  0.5000  6 In 2.90
In  0.1017  0.1017  0.6948  3 Se 2.90, 1 Ga 3.01
In  0.8983  0.8983  0.3052  3 Se 2.90, 1 Ga 3.01

Values from the calculation:
**Raw formation energy**: -0.01 eV/atom
**Spin magnetization**: 0.0 μB per cell
**Crystal system**: trigonal